(1)
Here is a relaxed structure of TeNF2 from Alexandria. Energies are from PBE.

Computed properties:
M_tot ... 1.0 Bohr magnetons per cell

Cell and atoms, written as POSCAR:
```
TeNF2
1.0
0.0000 2.8856 2.8856
2.8856 0.0000 2.8856
2.8856 2.8856 0.0000
F N Te
2 1 1
Direct
0.7500 0.7500 0.7500 F
0.2500 0.2500 0.2500 F
0.0000 0.0000 0.0000 N
0.5000 0.5000 0.5000 Te
```


(2)
Here is a relaxed structure of TeNF2 from Alexandria. Energies are from PBE.

Computed properties:
M_tot ... 1.3 Bohr magnetons per cell

Cell and atoms, written as POSCAR:
```
TeNF2
1.0
5.7903 0.0000 0.0000
0.0000 5.7903 0.0000
2.8951 2.8951 4.1062
F N Te
4 2 2
Direct
0.3750 0.6250 0.7500 F
0.3750 0.1250 0.2500 F
0.3750 0.6250 0.2500 F
0.8750 0.6250 0.7500 F
0.5000 0.5000 0.0000 N
0.2500 0.7500 0.5000 N
0.7500 0.2500 0.5000 Te
0.0000 0.0000 0.0000 Te
```


Number 1: density 6.2 g/cm3, E above lowest polymorph 0.49 eV per formula unit, E_form (uncorrected) 0.42 eV per atom. Number 2: density 4.3 g/cm3, E above lowest polymorph 2.19 eV per formula unit, E_form (uncorrected) 0.84 eV per atom.